VASP calculation (PBE) on Nd4Ga16Ru3 after structural relaxation.

extended XYZ file:
```
23
Lattice="6.2028 0.0000 0.0000 0.0000 6.2028 0.0000 0.0000 0.0000 11.4870" Properties=species:S:1:pos:R:3 pbc="T T T"
Ga 4.6661 1.5367 4.4078
Ga 4.4300 1.7728 0.0000
Ga 4.6661 4.6661 7.0792
Nd 0.0000 3.1014 9.2746
Ga 1.7728 4.4300 0.0000
Ru 0.0000 3.1014 5.7435
Ga 0.0000 0.0000 8.9585
Ga 3.1014 3.1014 2.2741
Nd 0.0000 3.1014 2.2124
Ga 4.6661 4.6661 4.4078
Ga 3.1014 3.1014 9.2129
Ru 0.0000 0.0000 0.0000
Ga 4.4300 4.4300 0.0000
Ru 3.1014 0.0000 5.7435
Ga 0.0000 0.0000 2.5285
Ga 1.5367 1.5367 4.4078
Nd 3.1014 0.0000 9.2746
Ga 1.5367 1.5367 7.0792
Ga 1.7728 1.7728 0.0000
Ga 4.6661 1.5367 7.0792
Nd 3.1014 0.0000 2.2124
Ga 1.5367 4.6661 7.0792
Ga 1.5367 4.6661 4.4078
```

Values from the calculation:
Total magnetization (μB per formula unit): 0.0
E_form (eV per formula unit): -12.5
Crystal system: tetragonal
Total energy (eV/cell): -107.85
Space group: P4/mmm (123)

---

VASP calculation (PBE) on HoErTh after structural relaxation.

extended XYZ file:
```
12
Lattice="6.4629 -1.6114 -2.5135 -2.0452 6.8056 0.4646 -1.8402 0.6499 10.0409" Properties=species:S:1:pos:R:3 pbc="T T T"
Th 1.6445 3.7812 6.9376
Ho -0.8390 5.0260 4.7405
Ho 3.4165 0.8182 3.2515
Th 3.1395 4.6571 0.0306
Ho 2.3935 4.2214 3.4852
Th 0.9330 2.0630 1.0543
Er -1.6159 4.6017 8.1733
Er 2.6397 0.3907 6.6829
Ho 0.1840 1.6227 4.5067
Er -0.0622 5.4535 1.3090
Er 4.1934 1.2425 -0.1814
Th -0.5620 1.1870 7.9613
```

Values from the calculation:
Total magnetization (μB per formula unit): 0.0
Polymorph energy (0 for the lowest one) (meV per atom): 29
E_form (eV per formula unit): 0.1
Crystal system: monoclinic
Total energy (eV/cell): -65.68
Space group: P2/m (10)

---

VASP calculation (PBE) on KPuBrCl2 after structural relaxation.

extended XYZ file:
```
5
Lattice="-0.0221 -5.1711 -1.9603 2.8682 -1.6868 4.4173 -5.1663 -1.0916 2.9379" Properties=species:S:1:pos:R:3 pbc="T T T"
Pu -0.0096 -0.0020 0.0055
Cl -3.4019 -1.8652 4.9587
Br 0.3572 -2.2173 5.8452
Cl -1.9790 -5.2942 6.1872
K -1.8833 -4.1277 3.1090
```

Values from the calculation:
Total magnetization (μB per formula unit): 6.0
Formation energy from raw total energies (eV/f.u.): -8.41
Crystal system: tetragonal
Total energy (eV/cell): -29.21
Space group: P4mm (99)

---

VASP calculation (PBE) on TbY3Ru8 after structural relaxation.

extended XYZ file:
```
12
Lattice="0.5154 5.0534 1.6276 1.3032 1.0508 5.0645 9.1036 1.8784 0.1010" Properties=species:S:1:pos:R:3 pbc="T T T"
Y 1.8216 6.1037 6.6909
Ru 4.3194 1.9664 1.3000
Ru 3.1535 3.5485 5.4776
Tb 5.0055 6.0460 5.8939
Y 5.4636 3.9909 3.3955
Ru 7.3132 6.4890 3.8092
Ru 7.7074 4.4857 5.5293
Ru 2.5027 3.0239 2.9480
Ru 7.9656 7.0154 6.3444
Ru 2.7599 5.5479 3.7608
Y 8.6475 3.9330 2.5984
Ru 9.7803 5.9578 4.6968
```

Values from the calculation:
Total magnetization (μB per formula unit): 0.0
E_form (eV per formula unit): -3.4
Crystal system: monoclinic
Total energy (eV/cell): -101.66
Space group: Cm (8)

---

VASP calculation (PBE) on Li2CrOs after structural relaxation.

extended XYZ file:
```
4
Lattice="5.0870 -0.0144 0.0000 2.7776 4.2617 0.0000 -3.9323 -2.1237 2.4300" Properties=species:S:1:pos:R:3 pbc="T T T"
Cr 2.5435 -0.0072 1.2150
Li 3.9323 2.1237 0.0000
Os 1.3888 2.1309 1.2150
Li 0.0000 0.0000 0.0000
```

Values from the calculation:
Total magnetization (μB per formula unit): 0.9
Polymorph energy (0 for the lowest one) (meV per atom): 86
E_form (eV per formula unit): 1.3
Crystal system: tetragonal
Total energy (eV/cell): -23.36
Space group: I4/mmm (139)

---

VASP calculation (PBE) on Nb2ZnAuN after structural relaxation.

extended XYZ file:
```
5
Lattice="-0.3544 2.9729 -2.9562 -3.3018 1.7486 2.1544 2.6836 2.4403 2.1323" Properties=species:S:1:pos:R:3 pbc="T T T"
N 0.0000 0.0000 0.0000
Nb 1.3418 1.2201 1.0661
Zn -1.6509 0.8743 1.0772
Nb -0.1772 1.4865 -1.4781
Au -0.4863 3.5809 0.6652
```

Values from the calculation:
Total magnetization (μB per formula unit): 0.0
Formation energy from raw total energies (eV/f.u.): -1.26
Crystal system: tetragonal
Total energy (eV/cell): -34.27
Space group: P4/mmm (123)

---

VASP calculation (PBE) on TbSmTm2 after structural relaxation.

extended XYZ file:
```
4
Lattice="-3.1953 1.1056 -1.0597 -1.3199 -0.7447 3.2029 2.1915 9.2639 3.0570" Properties=species:S:1:pos:R:3 pbc="T T T"
Sm -2.2576 0.1804 1.0716
Tm 1.6387 6.9272 2.2859
Tb -1.1619 4.8124 2.6001
Tm 0.5528 2.3367 0.7711
```

Values from the calculation:
Total magnetization (μB per formula unit): 0.0
Polymorph energy (0 for the lowest one) (meV per atom): 11
E_form (eV per formula unit): 0.1
Crystal system: tetragonal
Total energy (eV/cell): -18.20
Space group: P4/mmm (123)

---

VASP calculation (PBE) on ErSc2Al after structural relaxation.

extended XYZ file:
```
4
Lattice="3.3428 0.0000 0.0000 1.6714 2.8950 0.0000 1.6714 0.9650 10.0336" Properties=species:S:1:pos:R:3 pbc="T T T"
Er 3.3428 1.9300 4.9972
Sc 1.6714 0.9650 2.2259
Al 3.3428 1.9300 0.0120
Sc 1.6714 0.9650 7.8152
```

Values from the calculation:
Total magnetization (μB per formula unit): 0.7
Polymorph energy (0 for the lowest one) (meV per atom): 150
E_form (eV per formula unit): -0.3
Crystal system: trigonal
Total energy (eV/cell): -21.29
Space group: R3m (160)